No. 1
Computed, not measured: crystalline Cd2InCu2 at its relaxed geometry at the PBEsol level of DFT.

The structure in CIF format:
```
data_Cd2InCu2
_chemical_formula_sum 'Cd4 In2 Cu4'
_cell_length_a 2.968
_cell_length_b 7.652
_cell_length_c 7.652
_cell_angle_alpha 90.00
_cell_angle_beta 90.00
_cell_angle_gamma 90.00
_space_group_name_H-M_alt 'P 1'
_space_group_IT_number 1
_space_group_name_Hall 'P 1'
loop_
_atom_site_label
_atom_site_type_symbol
_atom_site_fract_x
_atom_site_fract_y
_atom_site_fract_z
In1 In 0.000 0.500 0.500
In2 In 0.000 0.000 0.000
Cd1 Cd 0.500 0.323 0.177
Cd2 Cd 0.500 0.677 0.823
Cd3 Cd 0.500 0.823 0.323
Cd4 Cd 0.500 0.177 0.677
Cu1 Cu 0.000 0.616 0.116
Cu2 Cu 0.000 0.116 0.384
Cu3 Cu 0.000 0.884 0.616
Cu4 Cu 0.000 0.384 0.884
```

Values from the calculation:
symmetry = P4/mbm, No. 127
E above lowest polymorph = 0.000 eV per atom
density of states at the Fermi level = 0.32 states/eV/atom
DFT total energy = -2.718 eV per atom
ΔE_f = 0.09 eV/atom
total moment = 0.0000 μB per atom

No. 2
Computed, not measured: crystalline CdInCu2 at its relaxed geometry at the PBEsol level of DFT.

The structure in CIF format:
```
data_CdInCu2
_chemical_formula_sum 'Cd1 In1 Cu2'
_cell_length_a 2.983
_cell_length_b 4.452
_cell_length_c 4.777
_cell_angle_alpha 90.00
_cell_angle_beta 89.85
_cell_angle_gamma 90.00
_space_group_name_H-M_alt 'P 1'
_space_group_IT_number 1
_space_group_name_Hall 'P 1'
loop_
_atom_site_label
_atom_site_type_symbol
_atom_site_fract_x
_atom_site_fract_y
_atom_site_fract_z
Cu1 Cu 0.876 0.000 0.953
Cu2 Cu 0.874 0.500 0.297
In1 In 0.374 0.000 0.427
Cd1 Cd 0.376 0.500 0.823
```

Values from the calculation:
symmetry = Pm, No. 6
density of states at the Fermi level = 0.26 states/eV/atom
DFT total energy = -3.158 eV per atom
ΔE_f = 0.05 eV/atom
total moment = 0.0001 μB per atom

No. 3
Computed, not measured: crystalline Cd2InCu at its relaxed geometry at the PBEsol level of DFT.

The structure in CIF format:
```
data_Cd2InCu
_chemical_formula_sum 'Cd2 In1 Cu1'
_cell_length_a 2.868
_cell_length_b 4.509
_cell_length_c 6.660
_cell_angle_alpha 109.65
_cell_angle_beta 102.44
_cell_angle_gamma 90.00
_space_group_name_H-M_alt 'P 1'
_space_group_IT_number 1
_space_group_name_Hall 'P 1'
loop_
_atom_site_label
_atom_site_type_symbol
_atom_site_fract_x
_atom_site_fract_y
_atom_site_fract_z
In1 In 0.500 0.000 0.000
Cu1 Cu 0.000 0.500 0.000
Cd1 Cd 0.304 0.304 0.608
Cd2 Cd 0.696 0.696 0.392
```

Values from the calculation:
symmetry = C2/m, No. 12
density of states at the Fermi level = 0.30 states/eV/atom
DFT total energy = -2.395 eV per atom
ΔE_f = 0.03 eV/atom
total moment = 0.0000 μB per atom